Entry 1:
This record from Alexandria describes a relaxed structure of Pr10Y4Ho. The functional is PBE.

Properties
For the formation energy, the calculation gives 0.70 eV per atom. As for the space group: No. 87. The total energy is -67.757 eV for the cell shown.

Lattice parameters (Å, degrees): 7.901 9.671 9.671 80.39 65.89 65.89
Fractional coordinates of all 15 atoms:
Pr1 0.050 0.100 0.298
Ho1 0.000 0.000 0.000
Pr2 0.250 0.500 0.500
Y1 0.600 0.199 0.600
Pr3 0.448 0.900 0.702
Y2 0.800 0.600 0.801
Pr4 0.750 0.500 0.500
Pr5 0.348 0.702 0.100
Y3 0.200 0.400 0.199
Pr6 0.150 0.298 0.900
Y4 0.400 0.801 0.400
Pr7 0.850 0.702 0.100
Pr8 0.652 0.298 0.900
Pr9 0.552 0.100 0.298
Pr10 0.950 0.900 0.702

Entry 2:
This record from Alexandria describes a relaxed structure of Pr4Y3Ho3. The functional is PBE.

Properties
For the formation energy, the calculation gives 0.10 eV per atom. As for the space group: No. 38. The total energy is -51.270 eV for the cell shown.

Lattice parameters (Å, degrees): 3.841 9.370 9.370 90.02 90.00 90.00
Fractional coordinates of all 10 atoms:
Ho1 0.500 0.333 0.332
Ho2 0.500 0.668 0.667
Ho3 0.500 0.832 0.168
Y1 0.500 0.168 0.832
Pr1 0.000 0.369 0.631
Pr2 0.000 0.131 0.133
Y2 0.000 0.000 0.500
Pr3 0.000 0.632 0.368
Pr4 0.000 0.867 0.869
Y3 0.000 0.500 0.000

Entry 3:
This record from Alexandria describes a relaxed structure of PrY7Ho4. The functional is PBE.

Properties
For the formation energy, the calculation gives 0.09 eV per atom. As for the space group: No. 2. The total energy is -67.313 eV for the cell shown.

Lattice parameters (Å, degrees): 6.837 6.533 11.751 74.86 50.46 81.96
Fractional coordinates of all 12 atoms:
Ho1 0.698 0.838 0.688
Y1 0.797 0.517 0.951
Y2 0.203 0.483 0.049
Y3 0.282 0.810 0.612
Y4 0.055 0.319 0.640
Y5 0.500 0.000 0.000
Ho2 0.522 0.640 0.287
Y6 0.945 0.681 0.360
Ho3 0.302 0.162 0.312
Pr1 0.000 0.000 0.000
Y7 0.718 0.190 0.388
Ho4 0.478 0.360 0.713

Entry 4:
This record from Alexandria describes a relaxed structure of Pr3YHo7. The functional is PBE.

Properties
For the formation energy, the calculation gives 0.12 eV per atom. As for the space group: No. 2. The total energy is -51.491 eV for the cell shown.

Lattice parameters (Å, degrees): 6.715 8.630 6.529 81.37 95.20 80.66
Fractional coordinates of all 11 atoms:
Y1 0.500 0.500 0.500
Ho1 0.291 0.145 0.437
Ho2 0.709 0.855 0.563
Ho3 0.733 0.580 0.988
Ho4 0.224 0.786 0.721
Ho5 0.267 0.420 0.012
Ho6 0.000 0.500 0.500
Pr1 0.938 0.164 0.802
Pr2 0.062 0.836 0.198
Pr3 0.500 0.000 0.000
Ho7 0.776 0.214 0.279

Entry 5:
This record from Alexandria describes a relaxed structure of Pr8Y3Ho2. The functional is PBE.

Properties
For the formation energy, the calculation gives 0.20 eV per atom. As for the space group: No. 12. The total energy is -64.244 eV for the cell shown.

Lattice parameters (Å, degrees): 5.798 7.780 10.990 110.73 90.02 90.00
Fractional coordinates of all 13 atoms:
Pr1 0.001 0.868 0.736
Pr2 0.500 0.402 0.213
Pr3 0.500 0.811 0.213
Pr4 0.999 0.326 0.652
Y1 0.000 0.715 0.000
Y2 0.000 0.285 0.000
Pr5 0.999 0.132 0.264
Pr6 0.500 0.189 0.787
Ho1 0.501 0.760 0.520
Y3 0.500 0.000 0.000
Pr7 0.001 0.674 0.348
Pr8 0.500 0.598 0.787
Ho2 0.499 0.240 0.480

Entry 6:
This record from Alexandria describes a relaxed structure of Pr2Y2Ho. The functional is PBE.

Properties
For the formation energy, the calculation gives 0.02 eV per atom. As for the space group: No. 15. The total energy is -53.951 eV for the cell shown.

Lattice parameters (Å, degrees): 6.342 8.615 6.871 103.02 90.00 111.60
Fractional coordinates of all 10 atoms:
Pr1 0.019 0.200 0.443
Y1 0.220 0.601 0.848
Y2 0.381 0.601 0.348
Y3 0.619 0.399 0.652
Pr2 0.182 0.200 0.943
Pr3 0.981 0.800 0.557
Ho1 0.415 0.000 0.250
Pr4 0.818 0.800 0.057
Ho2 0.585 0.000 0.750
Y4 0.780 0.399 0.152